A plane-wave DFT calculation with PBE with a Hubbard U was carried out for a relaxed CsVPbO2 crystal.

As for the volume: 134 Å³ per cell. The energy is -3.4033 eV/atom. The value obtained for the total magnetic moment is 3.6 Bohr magnetons per cell. Its space group is No. 123.

Unit cell a=4.5089 b=4.5089 c=6.5987 alpha=90.00 beta=90.00 gamma=90.00
Positions (direct):
Cs 0.0000 0.0000 0.0000
V 0.5000 0.5000 0.5000
Pb 0.0000 0.0000 0.5000
O 0.0000 0.5000 0.0000
O 0.5000 0.0000 0.0000